[1]
Crystalline Ba4Tm6O13 at its relaxed geometry, computed with GGA-PBEsol.

Cell: 12.1892 20.8846 5.9773 Å, 90.00 90.00 90.00°
Last column: nearest neighbours and their distance in Å.
Space group Iba2 (No. 45)
Unique sites:
Ba  0.1190  0.1670  0.0000 (multiplicity 8)  7 O 2.66-2.95
Ba  0.1451  0.3415  0.0052 (multiplicity 8)  7 O 2.70-3.01
Tm  0.1037  0.0498  0.5146 (multiplicity 8)  5 O 2.09-2.29
Tm  0.1233  0.2592  0.5011 (multiplicity 8)  6 O 2.12-2.31
Tm  0.1290  0.4648  0.5748 (multiplicity 8)  4 O 2.06-2.26
O  0.0000  0.5000  0.3157 (multiplicity 4)  4 Tm 2.26-2.33
O  0.0044  0.2657  0.7604 (multiplicity 8)  2 Tm 2.12-2.13
O  0.0665  0.0494  0.8685 (multiplicity 8)  3 Tm 2.16-2.29
O  0.1161  0.1492  0.4832 (multiplicity 8)  2 Tm 2.09-2.30
O  0.1472  0.3690  0.5003 (multiplicity 8)  1 Tm 2.06
O  0.2268  0.4683  0.8859 (multiplicity 8)  3 Tm 2.16-2.24
O  0.2492  0.2473  0.7519 (multiplicity 8)  2 Tm 2.16

Properties
Formation energy (no corrections) = -3.26 eV per atom
Magnetic moment = 0.000 μB per atom
Uncorrected energy = -7.876 eV per atom

[2]
Crystalline BaTm2O4 at its relaxed geometry, computed with GGA-PBEsol.

Cell: 10.2316 6.0333 21.4968 Å, 90.00 90.51 90.00°
Last column: nearest neighbours and their distance in Å.
Space group C2/c (No. 15)
Unique sites:
Ba  0.0000  0.1177  0.2500 (multiplicity 4)  3 O 2.62-2.63
Ba  0.1636  0.3836  0.6430 (multiplicity 8)  6 O 2.67-2.93
Tm  0.0052  0.1238  0.4302 (multiplicity 8)  5 O 2.13-2.32
Tm  0.1653  0.3776  0.9475 (multiplicity 8)  6 O 2.17-2.32
Tm  0.1693  0.3812  0.8059 (multiplicity 8)  6 O 2.13-2.30
O  0.0000  0.4478  0.7500 (multiplicity 4)  2 Tm 2.14
O  0.0000  0.5000  0.0000 (multiplicity 4)  2 Tm 2.17
O  0.0599  0.1645  0.8767 (multiplicity 8)  3 Tm 2.16-2.30
O  0.1202  0.3565  0.3797 (multiplicity 8)  3 Tm 2.13-2.30
O  0.1499  0.0545  0.9974 (multiplicity 8)  4 Tm 2.23-2.32
O  0.1693  0.1789  0.1242 (multiplicity 8)  3 Tm 2.15-2.32
O  0.2203  0.1076  0.7486 (multiplicity 8)  2 Tm 2.13

Properties
Distance to the lowest polymorph of the same formula = 15.8 meV per atom
Formation energy (no corrections) = -3.38 eV per atom
Magnetic moment = 0.000 μB per atom
Uncorrected energy = -8.090 eV per atom

[3]
Crystalline BaTm2O4 at its relaxed geometry, computed with GGA-PBEsol.

Cell: 10.2588 3.3846 11.8892 Å, 90.00 90.00 90.00°
Last column: nearest neighbours and their distance in Å.
Space group Pnma (No. 62)
Unique sites:
Ba  0.2470  0.2500  0.1501 (multiplicity 4)  8 O 2.69-2.89
Tm  0.0735  0.2500  0.3896 (multiplicity 4)  6 O 2.20-2.27
Tm  0.0775  0.2500  0.8918 (multiplicity 4)  6 O 2.22-2.29
O  0.0186  0.7500  0.7825 (multiplicity 4)  3 Tm 2.22-2.25
O  0.0685  0.2500  0.5742 (multiplicity 4)  3 Tm 2.20-2.27
O  0.1138  0.7500  0.0172 (multiplicity 4)  3 Tm 2.24-2.29
O  0.2098  0.7500  0.3444 (multiplicity 4)  3 Tm 2.25-2.26

Properties
Distance to the lowest polymorph of the same formula = 0.0 meV per atom
Formation energy (no corrections) = -3.40 eV per atom
Magnetic moment = 0.000 μB per atom
Uncorrected energy = -8.106 eV per atom

Question: Which of these has the highest uncorrected energy?
Answer: Ba4Tm6O13

Question: Number 2 is which compound?
Answer: BaTm2O4